This record from Alexandria describes a relaxed Li2HOsPt crystal. The functional is PBEsol.

Cell lengths 3.7584, 3.7935, 3.7935 Å; angles 90.00, 90.00, 90.00 degrees
Each line ends with the local moment (μB).
Fractional coordinates of all 5 atoms:
H 0.0000 0.0000 0.0000  0.01
Os 0.5000 0.5000 0.5000  1.06
Pt 0.5000 0.0000 0.0000  0.19
Li 0.0000 0.0000 0.5000  0.00
Li 0.0000 0.5000 0.0000  0.00

V: 10.8 Å³/atom
SG: P4/mmm, No. 123
E_tot: -5.07 eV per atom